## Ac3Zn4Ru2 (PBE-GGA)

Data for a relaxed structure of Ac3Zn4Ru2.

```
data_Ac3Zn4Ru2
_chemical_formula_sum 'Ac3 Zn4 Ru2'
_symmetry_space_group_name_H-M 'P 1'
_symmetry_Int_Tables_number 1
_cell_length_a 5.832
_cell_length_b 5.832
_cell_length_c 8.635
_cell_angle_alpha 100.59
_cell_angle_beta 100.59
_cell_angle_gamma 48.39
loop_
_symmetry_equiv_pos_as_xyz
'x,y,z'
loop_
_atom_site_label
_atom_site_type_symbol
_atom_site_fract_x
_atom_site_fract_y
_atom_site_fract_z
_atom_site_occupancy
Ac1 Ac 0.000 0.000 0.000 1
Ac2 Ac 0.371 0.371 0.310 1
Ac3 Ac 0.629 0.629 0.690 1
Zn1 Zn 0.099 0.099 0.408 1
Zn2 Zn 0.289 0.289 0.916 1
Zn3 Zn 0.711 0.711 0.084 1
Zn4 Zn 0.901 0.901 0.592 1
Ru1 Ru 0.316 0.316 0.628 1
Ru2 Ru 0.684 0.684 0.372 1
```

Output
Excess energy over the best structure of this formula in the dataset = 0.45 eV per formula unit
DFT formation energy = -0.19 eV/atom
Electronic total energy = -4.190 eV/atom


## TlPAuO (PBE-GGA)

Data for a relaxed structure of TlPAuO.

```
data_TlPAuO
_chemical_formula_sum 'Tl1 P1 Au1 O1'
_symmetry_space_group_name_H-M 'P 1'
_symmetry_Int_Tables_number 1
_cell_length_a 3.660
_cell_length_b 3.660
_cell_length_c 6.123
_cell_angle_alpha 90.32
_cell_angle_beta 90.32
_cell_angle_gamma 90.01
loop_
_symmetry_equiv_pos_as_xyz
'x,y,z'
loop_
_atom_site_label
_atom_site_type_symbol
_atom_site_fract_x
_atom_site_fract_y
_atom_site_fract_z
_atom_site_occupancy
Tl1 Tl 0.000 0.000 0.000 1
P1 P 0.504 0.504 0.430 1
Au1 Au 0.004 0.004 0.500 1
O1 O 0.501 0.501 0.168 1
```

Output
Excess energy over the best structure of this formula in the dataset = 0.10 eV per formula unit
Formation energy without anion corrections = -52.76 kJ per mole of atoms
Electronic total energy = -4.550 eV/atom


## LiAg8Pd2 (PBE-GGA)

Data for a relaxed structure of LiAg8Pd2.

```
data_LiAg8Pd2
_chemical_formula_sum 'Li1 Ag8 Pd2'
_symmetry_space_group_name_H-M 'P 1'
_symmetry_Int_Tables_number 1
_cell_length_a 7.607
_cell_length_b 7.607
_cell_length_c 7.607
_cell_angle_alpha 145.45
_cell_angle_beta 128.20
_cell_angle_gamma 63.76
loop_
_symmetry_equiv_pos_as_xyz
'x,y,z'
loop_
_atom_site_label
_atom_site_type_symbol
_atom_site_fract_x
_atom_site_fract_y
_atom_site_fract_z
_atom_site_occupancy
Li1 Li 0.000 0.000 0.000 1
Ag1 Ag 0.132 0.855 0.277 1
Ag2 Ag 0.162 0.662 0.500 1
Ag3 Ag 0.287 0.500 0.787 1
Ag4 Ag 0.422 0.145 0.277 1
Ag5 Ag 0.578 0.855 0.723 1
Ag6 Ag 0.713 0.500 0.213 1
Ag7 Ag 0.838 0.338 0.500 1
Ag8 Ag 0.868 0.145 0.723 1
Pd1 Pd 0.308 0.308 0.000 1
Pd2 Pd 0.692 0.692 0.000 1
```

Output
Excess energy over the best structure of this formula in the dataset = 0.00 eV per formula unit
DFT formation energy = -0.01 eV/atom
Electronic total energy = -3.199 eV/atom


## Ta2TeAs (PBE-GGA)

Data for a relaxed structure of Ta2TeAs.

```
data_Ta2TeAs
_chemical_formula_sum 'Ta2 Te1 As1'
_symmetry_space_group_name_H-M 'P 1'
_symmetry_Int_Tables_number 1
_cell_length_a 9.096
_cell_length_b 9.096
_cell_length_c 9.096
_cell_angle_alpha 21.41
_cell_angle_beta 21.41
_cell_angle_gamma 21.41
loop_
_symmetry_equiv_pos_as_xyz
'x,y,z'
loop_
_atom_site_label
_atom_site_type_symbol
_atom_site_fract_x
_atom_site_fract_y
_atom_site_fract_z
_atom_site_occupancy
Ta1 Ta 0.000 0.000 0.000 1
Ta2 Ta 0.255 0.255 0.255 1
Te1 Te 0.743 0.743 0.743 1
As1 As 0.522 0.522 0.522 1
```

Output
Formation energy without anion corrections = -6.07 kJ per mole of atoms
Electronic total energy = -7.937 eV/atom


## TbPm12Y3 (PBE-GGA)

Data for a relaxed structure of TbPm12Y3.

```
data_TbPm12Y3
_chemical_formula_sum 'Tb1 Pm12 Y3'
_symmetry_space_group_name_H-M 'P 1'
_symmetry_Int_Tables_number 1
_cell_length_a 5.137
_cell_length_b 5.137
_cell_length_c 20.497
_cell_angle_alpha 90.00
_cell_angle_beta 90.00
_cell_angle_gamma 90.00
loop_
_symmetry_equiv_pos_as_xyz
'x,y,z'
loop_
_atom_site_label
_atom_site_type_symbol
_atom_site_fract_x
_atom_site_fract_y
_atom_site_fract_z
_atom_site_occupancy
Tb1 Tb 0.000 0.000 0.000 1
Pm1 Pm 0.000 0.500 0.125 1
Pm2 Pm 0.000 0.500 0.375 1
Pm3 Pm 0.000 0.500 0.625 1
Pm4 Pm 0.000 0.500 0.875 1
Pm5 Pm 0.500 0.000 0.125 1
Pm6 Pm 0.500 0.000 0.375 1
Pm7 Pm 0.500 0.000 0.625 1
Pm8 Pm 0.500 0.000 0.875 1
Pm9 Pm 0.500 0.500 0.000 1
Pm10 Pm 0.500 0.500 0.250 1
Pm11 Pm 0.500 0.500 0.500 1
Pm12 Pm 0.500 0.500 0.750 1
Y1 Y 0.000 0.000 0.250 1
Y2 Y 0.000 0.000 0.500 1
Y3 Y 0.000 0.000 0.750 1
```

Output
DFT formation energy = 0.01 eV/atom
Electronic total energy = -5.050 eV/atom


## Tl2In3GaBr6 (PBE-GGA)

Data for a relaxed structure of Tl2In3GaBr6.

```
data_Tl2In3GaBr6
_chemical_formula_sum 'Tl2 In3 Ga1 Br6'
_symmetry_space_group_name_H-M 'P 1'
_symmetry_Int_Tables_number 1
_cell_length_a 10.510
_cell_length_b 10.510
_cell_length_c 9.417
_cell_angle_alpha 102.83
_cell_angle_beta 102.83
_cell_angle_gamma 25.81
loop_
_symmetry_equiv_pos_as_xyz
'x,y,z'
loop_
_atom_site_label
_atom_site_type_symbol
_atom_site_fract_x
_atom_site_fract_y
_atom_site_fract_z
_atom_site_occupancy
Tl1 Tl 0.165 0.165 0.329 1
Tl2 Tl 0.835 0.835 0.671 1
In1 In 0.166 0.166 0.835 1
In2 In 0.500 0.500 0.500 1
In3 In 0.834 0.834 0.165 1
Ga1 Ga 0.500 0.500 0.000 1
Br1 Br 0.003 0.003 0.762 1
Br2 Br 0.335 0.335 0.416 1
Br3 Br 0.342 0.342 0.925 1
Br4 Br 0.658 0.658 0.075 1
Br5 Br 0.665 0.665 0.584 1
Br6 Br 0.997 0.997 0.238 1
```

Output
Formation energy without anion corrections = -67.03 kJ per mole of atoms
Electronic total energy = -2.862 eV/atom


> Number 5 is which compound?

TbPm12Y3


> Among the records above, which one has the lowest electronic total energy?

Ta2TeAs